No. 1
Below is a relaxed Ho3Nb5H12 crystal, with properties calculated at the PBE level.

As for the total moment: 0.0 μB per formula unit. The raw total energy comes out at -0.4061 Ry per atom.

The space group is Ia-3d (No. 230) and the conventional cell measures 11.851, 11.851 and 11.851 Å, with angles of 90.00, 90.00 and 90.00 degrees. The distinct sites, in fractional coordinates, are Ho at (0.000, 0.250, 0.125), Nb at (0.000, 0.000, 0.000), Nb at (0.000, 0.250, 0.375) and H at (0.015, 0.065, 0.649).


No. 2
Below is a relaxed NdHo2H8 crystal, with properties calculated at the PBE level.

As for the total moment: 0.0 μB per formula unit. The raw total energy comes out at -0.3170 Ry per atom.

The space group is Immm (No. 71) and the conventional cell measures 3.671, 5.245 and 11.025 Å, with angles of 90.00, 90.00 and 90.00 degrees. The distinct sites, in fractional coordinates, are Nd at (0.000, 0.000, 0.000), Ho at (0.000, 0.000, 0.330), H at (0.000, 0.214, 0.500), H at (0.000, 0.268, 0.166) and H at (0.000, 0.500, 0.343).


No. 3
Below is a relaxed NdHo2H crystal, with properties calculated at the PBE level.

As for the total moment: 0.0 μB per formula unit. The raw total energy comes out at -0.3206 Ry per atom.

The space group is R-3m (No. 166, hexagonal axes) and the conventional cell measures 3.4874, 3.4874 and 28.5342 Å, with angles of 90.00, 90.00 and 120.00 degrees. The distinct sites, in fractional coordinates, are Nd at (0.0000, 0.0000, 0.0000), Ho at (0.0000, 0.0000, 0.1205) and H at (0.0000, 0.0000, 0.5000).


No. 4
Below is a relaxed Nd5Ho3H12 crystal, with properties calculated at the PBE level.

As for the total moment: 0.0 μB per formula unit. The raw total energy comes out at -0.3172 Ry per atom.

The space group is Ia-3d (No. 230) and the conventional cell measures 13.389, 13.389 and 13.389 Å, with angles of 90.00, 90.00 and 90.00 degrees. The distinct sites, in fractional coordinates, are Nd at (0.000, 0.000, 0.000), Nd at (0.000, 0.250, 0.375), Ho at (0.000, 0.250, 0.125) and H at (0.002, 0.071, 0.158).


No. 5
Below is a relaxed NdHoH2 crystal, with properties calculated at the PBE level.

As for the total moment: 0.0 μB per formula unit. The raw total energy comes out at -0.3222 Ry per atom. As for the energy above the lowest structure with this stoichiometry: 0.000 eV/atom.

The space group is R-3m (No. 166, hexagonal axes) and the conventional cell measures 3.5478, 3.5478 and 17.2977 Å, with angles of 90.00, 90.00 and 120.00 degrees. The distinct sites, in fractional coordinates, are Nd at (0.0000, 0.0000, 0.0000), Ho at (0.0000, 0.0000, 0.5000) and H at (0.0000, 0.0000, 0.2432).


No. 6
Below is a relaxed Nd3Ho5H12 crystal, with properties calculated at the PBE level.

As for the total moment: 0.0 μB per formula unit. The raw total energy comes out at -0.3181 Ry per atom.

The space group is Ia-3d (No. 230) and the conventional cell measures 13.247, 13.247 and 13.247 Å, with angles of 90.00, 90.00 and 90.00 degrees. The distinct sites, in fractional coordinates, are Nd at (0.000, 0.250, 0.125), Ho at (0.000, 0.000, 0.000), Ho at (0.000, 0.250, 0.375) and H at (0.008, 0.066, 0.653).


No. 7
Below is a relaxed Nd4Ho2H crystal, with properties calculated at the PBE level.

As for the total moment: 0.0 μB per formula unit. The raw total energy comes out at -0.3256 Ry per atom.

The space group is I4/mmm (No. 139) and the conventional cell measures 4.958, 4.958 and 17.474 Å, with angles of 90.00, 90.00 and 90.00 degrees. The distinct sites, in fractional coordinates, are Nd at (0.000, 0.000, 0.154), Nd at (0.000, 0.500, 0.000), Ho at (0.000, 0.000, 0.356) and H at (0.000, 0.000, 0.000).


No. 8
Below is a relaxed Nd2Ho2H crystal, with properties calculated at the PBE level.

As for the total moment: 0.0 μB per formula unit. The raw total energy comes out at -0.3362 Ry per atom.

The space group is P4/mmm (No. 123) and the conventional cell measures 5.058, 5.058 and 5.080 Å, with angles of 90.00, 90.00 and 90.00 degrees. The distinct sites, in fractional coordinates, are Nd at (0.000, 0.000, 0.000), Nd at (0.500, 0.500, 0.000), Ho at (0.000, 0.500, 0.500) and H at (0.000, 0.000, 0.500).


No. 9
Below is a relaxed NdHoH2 crystal, with properties calculated at the PBE level.

As for the total moment: 0.0 μB per formula unit. The raw total energy comes out at -0.3158 Ry per atom. As for the energy above the lowest structure with this stoichiometry: 0.087 eV/atom.

The space group is R3m (No. 160, hexagonal axes) and the conventional cell measures 3.5432, 3.5432 and 18.0128 Å, with angles of 90.00, 90.00 and 120.00 degrees. The distinct sites, in fractional coordinates, are Nd at (0.0000, 0.0000, 0.0000), Ho at (0.0000, 0.0000, 0.1790), H at (0.0000, 0.0000, 0.5804) and H at (0.0000, 0.0000, 0.7794).


No. 10
Below is a relaxed Nd2HoH8 crystal, with properties calculated at the PBE level.

As for the total moment: 0.0 μB per formula unit. The raw total energy comes out at -0.3168 Ry per atom.

The space group is Immm (No. 71) and the conventional cell measures 3.791, 5.239 and 11.342 Å, with angles of 90.00, 90.00 and 90.00 degrees. The distinct sites, in fractional coordinates, are Nd at (0.000, 0.000, 0.168), Ho at (0.000, 0.000, 0.500), H at (0.000, 0.249, 0.000), H at (0.000, 0.254, 0.346) and H at (0.000, 0.500, 0.166).


No. 11
Below is a relaxed NdHoH4 crystal, with properties calculated at the PBE level.

As for the total moment: 0.0 μB per formula unit. The raw total energy comes out at -0.3285 Ry per atom.

The space group is P4/mmm (No. 123) and the conventional cell measures 3.741, 3.741 and 5.341 Å, with angles of 90.00, 90.00 and 90.00 degrees. The distinct sites, in fractional coordinates, are Nd at (0.000, 0.000, 0.000), Ho at (0.500, 0.500, 0.500) and H at (0.000, 0.500, 0.268).


No. 12
Below is a relaxed Nd2Ho4H crystal, with properties calculated at the PBE level.

As for the total moment: 0.0 μB per formula unit. The raw total energy comes out at -0.3232 Ry per atom.

The space group is I4/mmm (No. 139) and the conventional cell measures 4.861, 4.861 and 17.282 Å, with angles of 90.00, 90.00 and 90.00 degrees. The distinct sites, in fractional coordinates, are Nd at (0.000, 0.000, 0.149), Ho at (0.000, 0.000, 0.352), Ho at (0.000, 0.500, 0.000) and H at (0.000, 0.000, 0.500).


No. 13
Below is a relaxed PmNd2HoH crystal, with properties calculated at the PBE level.

As for the total moment: 0.0 μB per formula unit. The raw total energy comes out at -0.3392 Ry per atom.

The space group is P4/mmm (No. 123) and the conventional cell measures 5.137, 5.137 and 5.067 Å, with angles of 90.00, 90.00 and 90.00 degrees. The distinct sites, in fractional coordinates, are Pm at (0.000, 0.000, 0.000), Nd at (0.000, 0.500, 0.500), Ho at (0.500, 0.500, 0.000) and H at (0.500, 0.500, 0.500).


No. 14
Below is a relaxed Pm2NdHoH crystal, with properties calculated at the PBE level.

As for the total moment: 0.0 μB per formula unit. The raw total energy comes out at -0.3391 Ry per atom.

The space group is P4/mmm (No. 123) and the conventional cell measures 5.114, 5.114 and 5.069 Å, with angles of 90.00, 90.00 and 90.00 degrees. The distinct sites, in fractional coordinates, are Pm at (0.000, 0.500, 0.000), Nd at (0.000, 0.000, 0.500), Ho at (0.500, 0.500, 0.500) and H at (0.500, 0.500, 0.000).


No. 15
Below is a relaxed PrNd2HoH crystal, with properties calculated at the PBE level.

As for the total moment: 0.0 μB per formula unit. The raw total energy comes out at -0.3397 Ry per atom.

The space group is P4/mmm (No. 123) and the conventional cell measures 5.155, 5.155 and 5.093 Å, with angles of 90.00, 90.00 and 90.00 degrees. The distinct sites, in fractional coordinates, are Pr at (0.000, 0.000, 0.000), Nd at (0.000, 0.500, 0.500), Ho at (0.500, 0.500, 0.000) and H at (0.500, 0.500, 0.500).